# PBE Tb2Er7In2, relaxed
data_Tb2Er7In2
_space_group_name_H-M_alt 'P 1'
_space_group_IT_number 1
_space_group_name_Hall 'P 1'
_cell_length_a 3.611
_cell_length_b 11.078
_cell_length_c 11.078
_cell_angle_alpha 51.13
_cell_angle_beta 80.62
_cell_angle_gamma 80.62
loop_
_atom_site_label
_atom_site_type_symbol
_atom_site_fract_x
_atom_site_fract_y
_atom_site_fract_z
Tb1 Tb 0.000 0.729 0.271
Tb2 Tb 0.500 0.398 0.602
Er1 Er 0.632 0.449 0.287
Er2 Er 0.160 0.731 0.949
Er3 Er 0.500 0.052 0.948
Er4 Er 0.135 0.127 0.604
Er5 Er 0.368 0.713 0.551
Er6 Er 0.840 0.051 0.269
Er7 Er 0.865 0.396 0.873
In1 In 0.256 0.348 0.140
In2 In 0.744 0.860 0.652
# * calculated formation energy: -0.47 eV/f.u.
# * space group: Imm2



# PBE Li2Ac2InPd5, relaxed
data_Li2Ac2InPd5
_space_group_name_H-M_alt 'P 1'
_space_group_IT_number 1
_space_group_name_Hall 'P 1'
_cell_length_a 3.888
_cell_length_b 9.975
_cell_length_c 9.975
_cell_angle_alpha 90.00
_cell_angle_beta 90.00
_cell_angle_gamma 90.00
loop_
_atom_site_label
_atom_site_type_symbol
_atom_site_fract_x
_atom_site_fract_y
_atom_site_fract_z
Pd1 Pd 0.500 0.435 0.288
Pd2 Pd 0.500 0.288 0.565
Pd3 Pd 0.500 0.565 0.712
Pd4 Pd 0.500 0.788 0.935
Pd5 Pd 0.500 0.065 0.788
Pd6 Pd 0.500 0.712 0.435
Pd7 Pd 0.500 0.935 0.212
Pd8 Pd 0.500 0.000 0.500
Pd9 Pd 0.500 0.212 0.065
Pd10 Pd 0.500 0.500 0.000
In1 In 0.000 0.000 0.000
In2 In 0.000 0.500 0.500
Ac1 Ac 0.000 0.820 0.680
Ac2 Ac 0.000 0.180 0.320
Ac3 Ac 0.000 0.680 0.180
Ac4 Ac 0.000 0.320 0.820
Li1 Li 0.000 0.883 0.383
Li2 Li 0.000 0.383 0.117
Li3 Li 0.000 0.117 0.617
Li4 Li 0.000 0.617 0.883
# * calculated formation energy: -6.35 eV/f.u.
# * space group: P4/mbm



# PBE YCuSe2, relaxed
data_YCuSe2
_space_group_name_H-M_alt 'P 1'
_space_group_IT_number 1
_space_group_name_Hall 'P 1'
_cell_length_a 7.633
_cell_length_b 7.633
_cell_length_c 7.633
_cell_angle_alpha 151.62
_cell_angle_beta 152.35
_cell_angle_gamma 40.03
loop_
_atom_site_label
_atom_site_type_symbol
_atom_site_fract_x
_atom_site_fract_y
_atom_site_fract_z
Se1 Se 0.019 0.019 0.000
Se2 Se 0.777 0.277 0.500
Y1 Y 0.439 0.439 0.000
Cu1 Cu 0.266 0.766 0.500
# * space group: Imm2
# * formation energy from raw total energies: -4.0 eV/f.u.



# PBE LaMg2CoSi, relaxed
data_LaMg2CoSi
_space_group_name_H-M_alt 'P 1'
_space_group_IT_number 1
_space_group_name_Hall 'P 1'
_cell_length_a 4.794
_cell_length_b 4.794
_cell_length_c 4.444
_cell_angle_alpha 90.00
_cell_angle_beta 90.00
_cell_angle_gamma 90.00
loop_
_atom_site_label
_atom_site_type_symbol
_atom_site_fract_x
_atom_site_fract_y
_atom_site_fract_z
Mg1 Mg 0.500 0.000 0.000
Mg2 Mg 0.000 0.500 0.000
La1 La 0.500 0.500 0.500
Co1 Co 0.000 0.000 0.000
Si1 Si 0.000 0.000 0.500
# * space group: P4/mmm
# * excess energy over the best structure of this formula in the dataset: 0.0 meV/atom
# * formation energy from raw total energies: -1.3 eV/f.u.



# PBE CdPtO4, relaxed
data_CdPtO4
_space_group_name_H-M_alt 'P 1'
_space_group_IT_number 1
_space_group_name_Hall 'P 1'
_cell_length_a 6.138
_cell_length_b 7.249
_cell_length_c 5.584
_cell_angle_alpha 115.09
_cell_angle_beta 106.49
_cell_angle_gamma 114.17
loop_
_atom_site_label
_atom_site_type_symbol
_atom_site_fract_x
_atom_site_fract_y
_atom_site_fract_z
Cd1 Cd 0.361 0.611 0.223
Cd2 Cd 0.639 0.389 0.777
O1 O 0.177 0.164 0.307
O2 O 0.631 0.143 0.307
O3 O 0.903 0.305 0.029
O4 O 0.374 0.276 0.971
O5 O 0.626 0.724 0.029
O6 O 0.369 0.857 0.693
O7 O 0.097 0.695 0.971
O8 O 0.823 0.836 0.693
Pt1 Pt 0.240 0.990 0.980
Pt2 Pt 0.760 0.010 0.020
# * space group: C2/c
# * formation energy from raw total energies: -2.5 eV/f.u.



# PBE In2SnPd, relaxed
data_In2SnPd
_space_group_name_H-M_alt 'P 1'
_space_group_IT_number 1
_space_group_name_Hall 'P 1'
_cell_length_a 4.376
_cell_length_b 4.376
_cell_length_c 10.357
_cell_angle_alpha 77.80
_cell_angle_beta 77.80
_cell_angle_gamma 90.00
loop_
_atom_site_label
_atom_site_type_symbol
_atom_site_fract_x
_atom_site_fract_y
_atom_site_fract_z
Sn1 Sn 0.750 0.250 0.500
Sn2 Sn 0.000 0.000 0.000
Pd1 Pd 0.250 0.750 0.500
Pd2 Pd 0.500 0.500 0.000
In1 In 0.601 0.125 0.250
In2 In 0.875 0.851 0.750
In3 In 0.375 0.399 0.750
In4 In 0.149 0.625 0.250
# * calculated formation energy: -0.22 eV/f.u.
# * space group: I-42d



# PBE KWSe2, relaxed
data_KWSe2
_space_group_name_H-M_alt 'P 1'
_space_group_IT_number 1
_space_group_name_Hall 'P 1'
_cell_length_a 7.489
_cell_length_b 7.489
_cell_length_c 6.849
_cell_angle_alpha 56.85
_cell_angle_beta 56.85
_cell_angle_gamma 90.00
loop_
_atom_site_label
_atom_site_type_symbol
_atom_site_fract_x
_atom_site_fract_y
_atom_site_fract_z
K1 K 0.500 0.500 0.000
K2 K 0.250 0.750 0.500
W1 W 0.750 0.250 0.500
W2 W 0.000 0.000 0.000
Se1 Se 0.375 0.274 0.750
Se2 Se 0.726 0.125 0.250
Se3 Se 0.875 0.976 0.750
Se4 Se 0.024 0.625 0.250
# * space group: I-42d
# * excess energy over the best structure of this formula in the dataset: 132.8 meV/atom
# * formation energy from raw total energies: -0.8 eV/f.u.



# PBE Zn2Si2Ni5Ge, relaxed
data_Zn2Si2Ni5Ge
_space_group_name_H-M_alt 'P 1'
_space_group_IT_number 1
_space_group_name_Hall 'P 1'
_cell_length_a 3.387
_cell_length_b 8.618
_cell_length_c 8.618
_cell_angle_alpha 90.00
_cell_angle_beta 90.00
_cell_angle_gamma 90.00
loop_
_atom_site_label
_atom_site_type_symbol
_atom_site_fract_x
_atom_site_fract_y
_atom_site_fract_z
Zn1 Zn 0.000 0.831 0.669
Zn2 Zn 0.000 0.169 0.331
Zn3 Zn 0.000 0.669 0.169
Zn4 Zn 0.000 0.331 0.831
Ni1 Ni 0.500 0.198 0.083
Ni2 Ni 0.500 0.302 0.583
Ni3 Ni 0.500 0.802 0.917
Ni4 Ni 0.500 0.000 0.500
Ni5 Ni 0.500 0.698 0.417
Ni6 Ni 0.500 0.500 0.000
Ni7 Ni 0.500 0.417 0.302
Ni8 Ni 0.500 0.583 0.698
Ni9 Ni 0.500 0.917 0.198
Ni10 Ni 0.500 0.083 0.802
Si1 Si 0.000 0.372 0.128
Si2 Si 0.000 0.872 0.372
Si3 Si 0.000 0.628 0.872
Si4 Si 0.000 0.128 0.628
Ge1 Ge 0.000 0.500 0.500
Ge2 Ge 0.000 0.000 0.000
# * space group: P4/mbm
# * formation energy from raw total energies: -2.3 eV/f.u.



# PBE ZnPO4, relaxed
data_ZnPO4
_space_group_name_H-M_alt 'P 1'
_space_group_IT_number 1
_space_group_name_Hall 'P 1'
_cell_length_a 6.255
_cell_length_b 8.996
_cell_length_c 5.086
_cell_angle_alpha 117.18
_cell_angle_beta 89.99
_cell_angle_gamma 134.06
loop_
_atom_site_label
_atom_site_type_symbol
_atom_site_fract_x
_atom_site_fract_y
_atom_site_fract_z
O1 O 0.027 0.777 0.676
O2 O 0.973 0.223 0.324
O3 O 0.352 0.602 0.324
O4 O 0.273 0.832 0.164
O5 O 0.109 0.168 0.836
O6 O 0.648 0.398 0.676
O7 O 0.727 0.168 0.836
O8 O 0.891 0.832 0.164
P1 P 0.045 0.295 0.089
P2 P 0.955 0.705 0.911
Zn1 Zn 0.666 0.916 0.333
Zn2 Zn 0.334 0.084 0.667
# * space group: Cmcm
# * excess energy over the best structure of this formula in the dataset: 0.0 meV/atom
# * formation energy from raw total energies: -9.7 eV/f.u.



# PBE TaSnN3, relaxed
data_TaSnN3
_space_group_name_H-M_alt 'P 1'
_space_group_IT_number 1
_space_group_name_Hall 'P 1'
_cell_length_a 3.990
_cell_length_b 3.990
_cell_length_c 3.990
_cell_angle_alpha 90.00
_cell_angle_beta 90.00
_cell_angle_gamma 90.00
loop_
_atom_site_label
_atom_site_type_symbol
_atom_site_fract_x
_atom_site_fract_y
_atom_site_fract_z
Sn1 Sn 0.000 0.000 0.000
N1 N 0.500 0.000 0.000
N2 N 0.000 0.000 0.500
N3 N 0.000 0.500 0.000
Ta1 Ta 0.500 0.500 0.500
# * space group: Pm-3m
# * formation energy from raw total energies: 7.5 eV/f.u.



# PBE CdGeBr3, relaxed
data_CdGeBr3
_space_group_name_H-M_alt 'P 1'
_space_group_IT_number 1
_space_group_name_Hall 'P 1'
_cell_length_a 5.442
_cell_length_b 5.442
_cell_length_c 5.442
_cell_angle_alpha 90.00
_cell_angle_beta 90.00
_cell_angle_gamma 90.00
loop_
_atom_site_label
_atom_site_type_symbol
_atom_site_fract_x
_atom_site_fract_y
_atom_site_fract_z
Cd1 Cd 0.000 0.000 0.000
Ge1 Ge 0.500 0.500 0.500
Br1 Br 0.000 0.500 0.000
Br2 Br 0.500 0.000 0.000
Br3 Br 0.000 0.000 0.500
# * space group: Pm-3m
# * excess energy over the best structure of this formula in the dataset: 198.0 meV/atom
# * formation energy from raw total energies: -0.4 eV/f.u.



# PBE BaScRePt2, relaxed
data_BaScRePt2
_space_group_name_H-M_alt 'P 1'
_space_group_IT_number 1
_space_group_name_Hall 'P 1'
_cell_length_a 5.189
_cell_length_b 5.221
_cell_length_c 5.189
_cell_angle_alpha 90.00
_cell_angle_beta 90.00
_cell_angle_gamma 90.00
loop_
_atom_site_label
_atom_site_type_symbol
_atom_site_fract_x
_atom_site_fract_y
_atom_site_fract_z
Sc1 Sc 0.000 0.500 0.000
Re1 Re 0.500 0.500 0.500
Pt1 Pt 0.500 0.000 0.000
Pt2 Pt 0.000 0.000 0.500
Ba1 Ba 0.000 0.000 0.000
# * calculated formation energy: 11.57 eV/f.u.
# * space group: P4/mmm
# * excess energy over the best structure of this formula in the dataset: 2277.9 meV/atom



Number 1: total magnetic moment 0.009 μB/cell. Number 2: total magnetic moment 0.000 μB/cell. Number 3: total magnetic moment 0.000 μB/cell. Number 4: total magnetic moment 0.000 μB/cell. Number 5: total magnetic moment 3.738 μB/cell. Number 6: total magnetic moment 0.000 μB/cell. Number 7: total magnetic moment 0.000 μB/cell. Number 8: total magnetic moment 0.000 μB/cell. Number 9: total magnetic moment 2.084 μB/cell. Number 10: total magnetic moment 0.000 μB/cell. Number 11: total magnetic moment 0.975 μB/cell. Number 12: total magnetic moment 3.109 μB/cell.